An optimized crystal structure of Ag5Pt3. Source: Alexandria via LeMat-Bulk, functional PBE.

Lattice parameters (Å, degrees): 7.9615 7.9619 5.1805 90.00 90.00 120.00
Closest atoms and distances in Å follow each position.
Fractional positions:
Pt 0.0000 0.5928 0.2500  9 Ag 2.74-2.96, 2 Pt 2.98
Ag 0.2266 0.2266 0.7500  5 Pt 2.81-2.96, 2 Ag 3.13
Ag 0.0000 0.2266 0.2500  5 Pt 2.81-2.96, 2 Ag 3.12-3.13
Ag 0.2267 0.0000 0.2500  5 Pt 2.81-2.96, 2 Ag 3.13
Ag 0.3333 0.6667 0.5000  2 Ag 2.59, 6 Pt 2.74
Pt 0.0000 0.4072 0.7500  9 Ag 2.74-2.96, 2 Pt 2.98
Ag 0.6667 0.3333 0.0000  2 Ag 2.59, 6 Pt 2.74
Ag 0.0000 0.7734 0.7500  5 Pt 2.81-2.96, 2 Ag 3.13
Pt 0.5928 0.5927 0.7500  9 Ag 2.74-2.96, 2 Pt 2.98
Pt 0.4072 0.0000 0.7500  9 Ag 2.74-2.96, 2 Pt 2.98
Pt 0.4073 0.4073 0.2500  9 Ag 2.74-2.96, 2 Pt 2.98
Ag 0.7734 0.0000 0.7500  5 Pt 2.81-2.96, 2 Ag 3.13
Ag 0.7734 0.7734 0.2500  5 Pt 2.81-2.96, 2 Ag 3.12-3.13
Ag 0.3333 0.6667 0.0000  2 Ag 2.59, 6 Pt 2.74
Ag 0.6667 0.3333 0.5000  2 Ag 2.59, 6 Pt 2.74
Pt 0.5928 0.0000 0.2500  9 Ag 2.74-2.96, 2 Pt 2.98

Values from the calculation:
Calculated formation energy   0.185 eV per atom
Space group   P6_3/mcm, No. 193
Relative energy among the computed polymorphs   180 meV/atom